Nd8SmCd2 PBE optimized geometry; symmetry = No. 12; N(E_F) = 15.28 states/eV per cell; V = 32.86 Å³ per atom; crystal system = monoclinic; energy above the lowest structure with this stoichiometry = 0 meV per atom
1.0
-0.681 5.367 0.631
-7.457 -0.457 -4.158
-0.232 -3.749 8.135
Nd Sm Cd
8 1 2
Direct
0.603 0.468 0.205
0.312 0.044 0.624
0.150 0.207 0.299
0.053 0.738 0.106
0.850 0.793 0.701
0.688 0.956 0.376
0.397 0.532 0.795
0.947 0.262 0.894
0.500 0.000 0.000
0.222 0.631 0.443
0.778 0.369 0.557